(1)
Compound: AcGa2Pd
Source: Alexandria via LeMat-Bulk
Functional: PBE-GGA
Structure: optimized geometry

The structure in CIF format:
```
data_AcGa2Pd
_symmetry_space_group_name_H-M 'F m -3 m'
_symmetry_Int_Tables_number 225
_symmetry_space_group_name_Hall '-F 4 2 3'
_cell_length_a 7.083
_cell_length_b 7.083
_cell_length_c 7.083
_cell_angle_alpha 90.00
_cell_angle_beta 90.00
_cell_angle_gamma 90.00
loop_
_atom_site_label
_atom_site_type_symbol
_atom_site_fract_x
_atom_site_fract_y
_atom_site_fract_z
Ac1 Ac 0.000 0.000 0.000
Ga1 Ga 0.250 0.250 0.250
Pd1 Pd 0.000 0.000 0.500
```

- Energy relative to the lowest polymorph listed for this composition: 0.2962 eV/atom
- Energy of formation from the pure elements: -407 meV/atom

(2)
Compound: MgNi3H
Source: Alexandria via LeMat-Bulk
Functional: PBE-GGA
Structure: optimized geometry

The structure in CIF format:
```
data_MgNi3H
_symmetry_space_group_name_H-M 'P 1 21/m 1'
_symmetry_Int_Tables_number 11
_cell_length_a 4.255
_cell_length_b 5.152
_cell_length_c 4.636
_cell_angle_alpha 90.00
_cell_angle_beta 91.87
_cell_angle_gamma 90.00
loop_
_symmetry_equiv_pos_as_xyz
'x,y,z'
'-x,-y,-z'
'-x,y+1/2,-z'
'x,-y+1/2,z'
loop_
_atom_site_label
_atom_site_type_symbol
_atom_site_fract_x
_atom_site_fract_y
_atom_site_fract_z
Mg1 Mg 0.248 0.250 0.353
Ni1 Ni 0.238 0.750 0.321
Ni2 Ni 0.249 0.003 0.844
H1 H 0.469 0.750 0.027
```

- Energy relative to the lowest polymorph listed for this composition: 0.0623 eV/atom

(3)
Compound: Ca2H4Ru
Source: Alexandria via LeMat-Bulk
Functional: PBE-GGA
Structure: optimized geometry

The structure in CIF format:
```
data_Ca2H4Ru
_symmetry_space_group_name_H-M 'I 4/m m m'
_symmetry_Int_Tables_number 139
_symmetry_space_group_name_Hall '-I 4 2'
_cell_length_a 3.622
_cell_length_b 3.622
_cell_length_c 14.272
_cell_angle_alpha 90.00
_cell_angle_beta 90.00
_cell_angle_gamma 90.00
loop_
_atom_site_label
_atom_site_type_symbol
_atom_site_fract_x
_atom_site_fract_y
_atom_site_fract_z
Ca1 Ca 0.000 0.000 0.122
H1 H 0.000 0.000 0.377
H2 H 0.000 0.500 0.000
Ru1 Ru 0.000 0.000 0.500
```

- Final energy: -4.24 eV per atom